# Nd2ScMnSe6 (PBE, relaxed)
data_Nd2ScMnSe6
_symmetry_space_group_name_H-M 'P 1'
_symmetry_Int_Tables_number 1
_symmetry_space_group_name_Hall 'P 1'
_cell_length_a 6.6797
_cell_length_b 7.5557
_cell_length_c 9.7133
_cell_angle_alpha 90.00
_cell_angle_beta 90.45
_cell_angle_gamma 90.00
loop_
_atom_site_label
_atom_site_fract_x
_atom_site_fract_y
_atom_site_fract_z
_atom_site_occupancy
Nd1 0.4541 0.3867 0.2525 1
Se1 0.8701 0.5271 0.2397 1
Mn1 0.5000 0.0000 0.5000 1
Nd2 0.9541 0.1133 0.7525 1
Se2 0.8286 0.8208 0.9401 1
Se3 0.6299 0.0271 0.2603 1
Se4 0.3208 0.6744 0.0558 1
Se5 0.1714 0.1792 0.0599 1
Se6 0.3701 0.9729 0.7397 1
Mn2 0.0000 0.5000 0.0000 1
Nd3 0.0459 0.8867 0.2475 1
Se7 0.3286 0.6792 0.4401 1
Sc1 0.0000 0.5000 0.5000 1
Sc2 0.5000 0.0000 0.0000 1
Se8 0.1792 0.1744 0.4442 1
Se9 0.1299 0.4729 0.7603 1
Se10 0.6792 0.3256 0.9442 1
Se11 0.8208 0.8256 0.5558 1
Nd4 0.5459 0.6133 0.7475 1
Se12 0.6714 0.3208 0.5599 1
# VASP energy = -121.17 eV/cell
# Space-group type = P2_1/c, No. 14
# Energy relative to the elements, uncorrected = -1.46 eV per atom